1.
First-principles (PBE) data for an optimized crystal structure of SrLi2Ag9, as listed in Alexandria.

```
data_SrLi2Ag9
_symmetry_space_group_name_H-M 'I 41/a m d'
_symmetry_Int_Tables_number 141
_cell_length_a 11.249
_cell_length_b 11.249
_cell_length_c 7.387
_cell_angle_alpha 90.00
_cell_angle_beta 90.00
_cell_angle_gamma 90.00
loop_
_symmetry_equiv_pos_as_xyz
'x,y,z'
'-x,-y,-z'
'-y+1/4,x+3/4,z+1/4'
'y+1/4,-x+3/4,-z+1/4'
'-x+1/2,-y,z+1/2'
'x+1/2,y,-z+1/2'
'y+1/4,-x+1/4,z+3/4'
'-y+1/4,x+1/4,-z+3/4'
'x,-y,-z'
'-x,y,z'
'-y+1/4,-x+1/4,-z+3/4'
'y+1/4,x+1/4,z+3/4'
'-x+1/2,y,-z+1/2'
'x+1/2,-y,z+1/2'
'y+1/4,x+3/4,-z+1/4'
'-y+1/4,-x+3/4,z+1/4'
'x+1/2,y+1/2,z+1/2'
'-x+1/2,-y+1/2,-z+1/2'
'-y+3/4,x+1/4,z+3/4'
'y+3/4,-x+1/4,-z+3/4'
'-x,-y+1/2,z'
'x,y+1/2,-z'
'y+3/4,-x+3/4,z+1/4'
'-y+3/4,x+3/4,-z+1/4'
'x+1/2,-y+1/2,-z+1/2'
'-x+1/2,y+1/2,z+1/2'
'-y+3/4,-x+3/4,-z+1/4'
'y+3/4,x+3/4,z+1/4'
'-x,y+1/2,-z'
'x,-y+1/2,z'
'y+3/4,x+1/4,-z+3/4'
'-y+3/4,-x+1/4,z+3/4'
loop_
_atom_site_label
_atom_site_fract_x
_atom_site_fract_y
_atom_site_fract_z
_atom_site_occupancy
Sr1 0.000 0.250 0.375 1
Li1 0.000 0.000 0.000 1
Ag1 0.000 0.250 0.875 1
Ag2 0.123 0.048 0.685 1
```

Values from the calculation:
ΔE_f = -158 meV per atom

2.
First-principles (PBE) data for an optimized crystal structure of Sr2LiAg, as listed in Alexandria.

```
data_Sr2LiAg
_symmetry_space_group_name_H-M 'F m -3 m'
_symmetry_Int_Tables_number 225
_symmetry_space_group_name_Hall '-F 4 2 3'
_cell_length_a 8.062
_cell_length_b 8.062
_cell_length_c 8.062
_cell_angle_alpha 90.00
_cell_angle_beta 90.00
_cell_angle_gamma 90.00
loop_
_atom_site_label
_atom_site_fract_x
_atom_site_fract_y
_atom_site_fract_z
_atom_site_occupancy
Sr1 0.250 0.250 0.250 1
Li1 0.000 0.000 0.000 1
Ag1 0.000 0.000 0.500 1
```

Values from the calculation:
ΔE_f = -111 meV per atom